(1)
{
  "formula": "Pm3MgHg12",
  "functional": "PBE",
  "state": "relaxed",
  "total_energy_ev_per_cell": -24.233,
  "lattice_angstrom": [[4.6996, 0.0000, 0.0000], [0.0000, 4.6996, 0.0000], [0.0000, 0.0000, 18.0624]],
  "species": ["Pm", "Pm", "Pm", "Mg", "Hg", "Hg", "Hg", "Hg", "Hg", "Hg", "Hg", "Hg", "Hg", "Hg", "Hg", "Hg"],
  "fractional_positions": [[0.0000, 0.0000, 0.0000], [0.0000, 0.0000, 0.2636], [0.0000, 0.0000, 0.7364], [0.0000, 0.0000, 0.5000], [0.0000, 0.5000, 0.1289], [0.0000, 0.5000, 0.3844], [0.0000, 0.5000, 0.6156], [0.0000, 0.5000, 0.8711], [0.5000, 0.0000, 0.1289], [0.5000, 0.0000, 0.3844], [0.5000, 0.0000, 0.6156], [0.5000, 0.0000, 0.8711], [0.5000, 0.5000, 0.0000], [0.5000, 0.5000, 0.2550], [0.5000, 0.5000, 0.5000], [0.5000, 0.5000, 0.7450]]
}



(2)
{
  "formula": "Na2ClF",
  "functional": "PBE",
  "state": "relaxed",
  "formation_energy_uncorrected_mev_per_atom": -2186,
  "total_energy_ev_per_cell": -30.203,
  "lattice_angstrom": [[-3.1668, 3.1668, 4.1420], [3.1668, -3.1668, 4.1420], [3.1668, 3.1668, -4.1420]],
  "species": ["Na", "Na", "Na", "Na", "Cl", "Cl", "F", "F"],
  "fractional_positions": [[0.0625, 0.1250, 0.4375], [0.3750, 0.9375, 0.0625], [0.6875, 0.6250, 0.5625], [0.8750, 0.3125, 0.9375], [0.2500, 0.7500, 0.5000], [0.5000, 0.5000, 0.0000], [0.0000, 0.0000, 0.0000], [0.7500, 0.2500, 0.5000]]
}



(3)
{
  "formula": "Ac5Ga3O12",
  "functional": "PBE",
  "state": "relaxed",
  "formation_energy_uncorrected_mev_per_atom": -2662,
  "total_energy_ev_per_cell": -569.464,
  "lattice_angstrom": [[-7.0260, 7.0260, 7.0260], [7.0260, -7.0260, 7.0260], [7.0260, 7.0260, -7.0260]],
  "species": ["Ac", "Ac", "Ac", "Ac", "Ac", "Ac", "Ac", "Ac", "Ac", "Ac", "Ac", "Ac", "Ac", "Ac", "Ac", "Ac", "Ac", "Ac", "Ac", "Ac", "Ga", "Ga", "Ga", "Ga", "Ga", "Ga", "Ga", "Ga", "Ga", "Ga", "Ga", "Ga", "O", "O", "O", "O", "O", "O", "O", "O", "O", "O", "O", "O", "O", "O", "O", "O", "O", "O", "O", "O", "O", "O", "O", "O", "O", "O", "O", "O", "O", "O", "O", "O", "O", "O", "O", "O", "O", "O", "O", "O", "O", "O", "O", "O", "O", "O", "O", "O"],
  "fractional_positions": [[0.0000, 0.0000, 0.0000], [0.0000, 0.0000, 0.5000], [0.0000, 0.5000, 0.0000], [0.0000, 0.5000, 0.5000], [0.1250, 0.7500, 0.8750], [0.1250, 0.8750, 0.2500], [0.2500, 0.1250, 0.8750], [0.2500, 0.6250, 0.3750], [0.3750, 0.2500, 0.6250], [0.3750, 0.6250, 0.7500], [0.5000, 0.0000, 0.0000], [0.5000, 0.0000, 0.5000], [0.5000, 0.5000, 0.0000], [0.5000, 0.5000, 0.5000], [0.6250, 0.3750, 0.2500], [0.6250, 0.7500, 0.3750], [0.7500, 0.3750, 0.6250], [0.7500, 0.8750, 0.1250], [0.8750, 0.1250, 0.7500], [0.8750, 0.2500, 0.1250], [0.1250, 0.2500, 0.3750], [0.1250, 0.3750, 0.7500], [0.2500, 0.3750, 0.1250], [0.2500, 0.8750, 0.6250], [0.3750, 0.1250, 0.2500], [0.3750, 0.7500, 0.1250], [0.6250, 0.2500, 0.8750], [0.6250, 0.8750, 0.7500], [0.7500, 0.1250, 0.3750], [0.7500, 0.6250, 0.8750], [0.8750, 0.6250, 0.2500], [0.8750, 0.7500, 0.6250], [0.0186, 0.6363, 0.2133], [0.0186, 0.8823, 0.8054], [0.0770, 0.1946, 0.7133], [0.0770, 0.3823, 0.3637], [0.1177, 0.1946, 0.9814], [0.1177, 0.4230, 0.1363], [0.1363, 0.1177, 0.4230], [0.1363, 0.5186, 0.7133], [0.1946, 0.7133, 0.0770], [0.1946, 0.9814, 0.1177], [0.2133, 0.0186, 0.6363], [0.2133, 0.6946, 0.5770], [0.2867, 0.8637, 0.4814], [0.2867, 0.9230, 0.8054], [0.3054, 0.3823, 0.5186], [0.3054, 0.4230, 0.7867], [0.3637, 0.0770, 0.3823], [0.3637, 0.7867, 0.9814], [0.3823, 0.3637, 0.0770], [0.3823, 0.5186, 0.3054], [0.4230, 0.1363, 0.1177], [0.4230, 0.7867, 0.3054], [0.4814, 0.2867, 0.8637], [0.4814, 0.6946, 0.6177], [0.5186, 0.3054, 0.3823], [0.5186, 0.7133, 0.1363], [0.5770, 0.2133, 0.6946], [0.5770, 0.8637, 0.8823], [0.6177, 0.4814, 0.6946], [0.6177, 0.6363, 0.9230], [0.6363, 0.2133, 0.0186], [0.6363, 0.9230, 0.6177], [0.6946, 0.5770, 0.2133], [0.6946, 0.6177, 0.4814], [0.7133, 0.0770, 0.1946], [0.7133, 0.1363, 0.5186], [0.7867, 0.3054, 0.4230], [0.7867, 0.9814, 0.3637], [0.8054, 0.0186, 0.8823], [0.8054, 0.2867, 0.9230], [0.8637, 0.4814, 0.2867], [0.8637, 0.8823, 0.5770], [0.8823, 0.5770, 0.8637], [0.8823, 0.8054, 0.0186], [0.9230, 0.6177, 0.6363], [0.9230, 0.8054, 0.2867], [0.9814, 0.1177, 0.1946], [0.9814, 0.3637, 0.7867]]
}



| no. | magnetic moment (μB/atom) |
| --- | --- |
| 1 | 0.000 |
| 2 | 0.000 |
| 3 | 0.000 |